Record 1
ErFe3 after structural relaxation. Source: Alexandria, functional PBEsol.

Cell and atoms, written as extended XYZ:
```
12
Lattice="-1.926 -1.716 4.193 2.711 -2.833 2.976 2.811 4.920 6.195" Properties=species:S:1:pos:R:3 pbc="T T T"
Er 1.725 2.178 4.574
Er 0.000 0.000 0.000
Er 1.871 -1.807 8.790
Fe 0.050 -1.559 6.614
Fe 1.015 -0.699 4.512
Fe 1.221 2.490 7.360
Fe 3.546 1.930 6.750
Fe 2.375 -2.119 6.004
Fe 2.580 1.070 8.852
Fe 0.265 -1.508 2.395
Fe 3.331 1.879 10.969
Fe 1.798 0.185 6.682
```

Values from the calculation:
ρ = 10.1 g/cm3
total moment = 14.170 μB/cell
formation enthalpy at 0 K = -96 meV per atom



Record 2
Er2Fe17 after structural relaxation. Source: Alexandria, functional PBEsol.

Cell and atoms, written as extended XYZ:
```
38
Lattice="-7.592 -0.038 2.633 -2.568 -2.109 -7.434 1.913 -5.757 5.432" Properties=species:S:1:pos:R:3 pbc="T T T"
Er -1.898 -0.010 0.658
Er -5.694 -0.029 1.975
Er -5.274 -4.569 3.118
Er -2.972 -3.334 -2.487
Fe -0.404 -4.545 1.429
Fe -7.843 -3.359 -0.798
Fe -5.693 -3.348 -1.543
Fe -2.554 -4.556 2.174
Fe -0.327 -3.933 -1.001
Fe 0.956 -2.878 2.716
Fe -1.284 -1.054 -3.717
Fe -4.123 -3.952 0.315
Fe -2.839 -2.897 4.032
Fe -5.080 -1.073 -2.400
Fe -2.238 -5.205 -0.397
Fe -1.294 -2.209 2.368
Fe -0.904 -6.237 3.433
Fe -2.039 -2.821 0.210
Fe -1.682 -6.876 1.180
Fe -0.714 -3.954 4.014
Fe -6.009 -2.699 1.027
Fe -6.953 -5.694 -1.737
Fe -7.342 -1.667 -2.802
Fe -6.207 -5.082 0.420
Fe -6.564 -1.028 -0.549
Fe -7.532 -3.950 -3.383
Fe -6.332 -5.192 5.909
Fe -7.627 -6.256 2.159
Fe -7.297 -2.288 3.169
Fe -1.915 -2.712 -5.279
Fe -0.619 -1.648 -1.528
Fe -0.950 -5.616 -2.538
Fe -5.536 -2.730 -4.023
Fe -4.241 -1.666 -0.272
Fe -4.571 -5.634 -1.282
Fe -2.710 -5.174 4.653
Fe -4.006 -6.238 0.903
Fe -3.675 -2.269 1.913
```

Values from the calculation:
ρ = 9.2 g/cm3
total moment = 57.533 μB/cell
formation enthalpy at 0 K = 3 meV per atom



Record 3
ErFe2 after structural relaxation. Source: Alexandria, functional PBEsol.

Cell and atoms, written as extended XYZ:
```
12
Lattice="-0.710 -1.507 -4.703 2.443 -2.929 3.217 -7.005 -3.461 2.167" Properties=species:S:1:pos:R:3 pbc="T T T"
Fe -4.563 -3.815 1.912
Fe -3.333 -5.290 3.531
Fe -1.582 -1.849 -0.483
Fe -0.710 -4.083 -1.231
Fe -3.690 -6.049 1.163
Fe 0.000 0.000 0.000
Fe -1.939 -2.608 -2.850
Fe -3.503 -1.731 1.083
Er -1.676 -3.971 1.526
Er -3.596 -3.927 -0.845
Er -6.229 -5.228 -0.031
Er 0.957 -2.670 0.711
```

Values from the calculation:
ρ = 10.6 g/cm3
total moment = 10.790 μB/cell
formation enthalpy at 0 K = -105 meV per atom